LiCaCdPd after structural relaxation, computed with PBE.

## Properties
energy relative to the elements = -438 meV/atom
uncorrected energy = -2.944 eV per atom
SG = F-43m, No. 216
crystal system = cubic

Cell: 4.8632 4.8632 4.8632 Å, 60.00 60.00 60.00°
Element x y z (fractional)
Ca  0.0000  0.0000  0.0000
Li  0.7500  0.7500  0.7500
Pd  0.2500  0.2500  0.2500
Cd  0.5000  0.5000  0.5000



KOsCl2F6 after structural relaxation, computed with PBE.

## Properties
uncorrected energy = -4.415 eV per atom
SG = Pmmn, No. 59
raw formation energy = -38.98 kcal/mol of atoms
crystal system = orthorhombic

Cell: 6.3083 8.4972 8.4618 Å, 90.00 90.00 90.00°
Element x y z (fractional)
F  0.7828  0.9150  0.0000
F  0.7163  0.4000  0.5000
F  0.5000  0.2417  0.2732
F  0.7172  0.0850  0.5000
F  0.0000  0.7583  0.7732
F  0.7837  0.6000  0.0000
F  0.2163  0.6000  0.0000
F  0.2172  0.9150  0.0000
F  0.0000  0.7583  0.2268
F  0.2828  0.0850  0.5000
F  0.2837  0.4000  0.5000
F  0.5000  0.2417  0.7268
Os  0.0000  0.7612  0.0000
Os  0.5000  0.2388  0.5000
K  0.5000  0.3736  0.0000
K  0.0000  0.6264  0.5000
Cl  0.0000  0.2426  0.1181
Cl  0.5000  0.7574  0.6181
Cl  0.5000  0.7574  0.3819
Cl  0.0000  0.2426  0.8819



LiPrBi2 after structural relaxation, computed with PBE.

## Properties
relative energy among the computed polymorphs = 179.0 meV per atom
energy relative to the elements = -515 meV/atom
uncorrected energy = -4.129 eV per atom
SG = P4/mmm, No. 123
crystal system = tetragonal

Cell: 3.5857 3.5857 8.8252 Å, 90.00 90.00 90.00°
Element x y z (fractional)
Pr  0.5000  0.5000  0.5000
Li  0.5000  0.5000  0.0000
Bi  0.0000  0.0000  0.7728
Bi  0.0000  0.0000  0.2272



Zr3Al after structural relaxation, computed with PBE.

## Properties
energy relative to the elements = -90 meV/atom
uncorrected energy = -7.437 eV per atom
SG = P-6m2, No. 187
crystal system = hexagonal

Cell: 3.1787 3.1787 10.0477 Å, 90.00 90.00 120.00°
Element x y z (fractional)
Zr  0.6667  0.3333  0.2396
Zr  0.6667  0.3333  0.7604
Zr  0.0000  0.0000  0.5000
Al  0.0000  0.0000  0.0000



SrOsAu2 after structural relaxation, computed with PBE.

## Properties
relative energy among the computed polymorphs = 91.7 meV per atom
energy relative to the elements = 423 meV/atom
uncorrected energy = -4.443 eV per atom
SG = P4mm, No. 99
crystal system = tetragonal

Cell: 3.6067 3.6067 6.6924 Å, 90.00 90.00 90.00°
Element x y z (fractional)
Os  0.0000  0.0000  0.4303
Au  0.5000  0.5000  0.2928
Au  0.0000  0.0000  0.0253
Sr  0.5000  0.5000  0.7516



EuBiRhAu after structural relaxation, computed with PBE.

## Properties
energy relative to the elements = -337 meV/atom
uncorrected energy = -6.533 eV per atom
SG = F-43m, No. 216
crystal system = cubic

Cell: 5.0329 5.0329 5.0329 Å, 60.00 60.00 60.00°
Element x y z (fractional)
Eu  0.0000  0.0000  0.0000
Bi  0.5000  0.5000  0.5000
Au  0.7500  0.7500  0.7500
Rh  0.2500  0.2500  0.2500



CaEuSi after structural relaxation, computed with PBE.

## Properties
uncorrected energy = -6.162 eV per atom
SG = I4mm, No. 107
raw formation energy = -6.05 kcal/mol of atoms
crystal system = tetragonal

Cell: 3.6051 3.6051 7.3852 Å, 104.13 104.13 90.00°
Element x y z (fractional)
Eu  0.2454  0.2454  0.4908
Si  0.6154  0.6154  0.2307
Ca  0.9892  0.9892  0.9784



Nb6WN after structural relaxation, computed with PBE.

## Properties
uncorrected energy = -10.087 eV per atom
SG = P-1, No. 2
raw formation energy = 2.90 kcal/mol of atoms
crystal system = triclinic

Cell: 5.7784 5.7817 5.8736 Å, 60.57 60.53 59.95°
Element x y z (fractional)
Nb  0.9947  0.4291  0.7605
Nb  0.1846  0.0060  0.2394
Nb  0.0053  0.5709  0.2395
Nb  0.4300  0.8152  0.7605
Nb  0.8154  0.9940  0.7606
Nb  0.5700  0.1848  0.2395
N  0.0000  0.0000  0.0000
W  0.5000  0.5000  0.5000